Record 1
Entry from Alexandria: a geometry-optimized TbCoCl structure (PBE-GGA).

abc: 3.8853 3.8853 11.1650
angles: 100.24 100.24 59.99
With the nearest neighbours (Å) after each atom.
Atoms (fractional coordinates):
Tb: 0.0000 0.0000 0.0000  3 Cl 2.84, 6 Co 2.93
Tb: 0.1174 0.1174 0.3450  3 Cl 2.84, 6 Co 2.93
Co: 0.3921 0.3921 0.1725  3 Co 2.24
Co: 0.7254 0.7254 0.1725  3 Co 2.24
Cl: 0.2785 0.2785 0.8402  3 Tb 2.84
Cl: 0.5050 0.5050 0.5049  3 Tb 2.84

calculated volume: 142.8 Å³ per cell
Fermi-level density of states: 0.58 states/eV/atom
total moment: 0.094 μB per atom
electronic total energy: -5.7035 eV/atom
formation energy (no corrections): -1175.9 meV per atom
space group: Cm (8)

***

Record 2
Entry from Alexandria: a geometry-optimized Sr2AlCr structure (PBE-GGA).

abc: 5.4681 5.4681 7.2278
angles: 98.14 98.14 38.70
With the nearest neighbours (Å) after each atom.
Atoms (fractional coordinates):
Sr: 0.2454 0.2454 0.2420  3 Cr 3.36-3.49, 3 Al 3.37-3.38, 2 Sr 3.62
Sr: 0.7546 0.7546 0.7580  3 Cr 3.36-3.49, 3 Al 3.37-3.38, 2 Sr 3.62
Al: 0.5000 0.5000 0.0000  6 Sr 3.37-3.38, 2 Al 3.62
Cr: 0.0000 0.0000 0.5000  6 Sr 3.36-3.49, 2 Cr 3.62

calculated volume: 133.6 Å³ per cell
formation energy from the elements: 228 kJ/mol of formula units
Fermi-level density of states: 0.88 states/eV/atom
total moment: 1.151 μB per atom
electronic total energy: -3.5910 eV/atom
space group: C2/m (12)

***

Record 3
Entry from Alexandria: a geometry-optimized Nd3Al4Ag4 structure (PBE-GGA).

abc: 3.7989 4.6388 14.3238
angles: 99.30 97.59 90.03
With the nearest neighbours (Å) after each atom.
Atoms (fractional coordinates):
Nd: 0.0000 0.0000 0.0000  4 Ag 3.27, 8 Al 3.28-3.29
Nd: 0.1454 0.6454 0.2902  6 Al 3.25-3.32, 6 Ag 3.31-3.33
Nd: 0.8546 0.3546 0.7098  6 Al 3.25-3.32, 6 Ag 3.31-3.33
Al: 0.3097 0.8095 0.6198  5 Ag 2.66-2.75
Al: 0.4513 0.4519 0.9040  2 Ag 2.67, 1 Al 2.69
Al: 0.5487 0.5481 0.0960  2 Ag 2.67, 1 Al 2.69
Al: 0.6903 0.1905 0.3802  5 Ag 2.66-2.75
Ag: 0.2573 0.2572 0.5147  4 Al 2.68-2.75
Ag: 0.4047 0.9048 0.8099  3 Al 2.66-2.67
Ag: 0.5953 0.0952 0.1901  3 Al 2.66-2.67
Ag: 0.7427 0.7428 0.4853  4 Al 2.68-2.75

calculated volume: 246.9 Å³ per cell
formation energy from the elements: -363 kJ/mol of formula units
Fermi-level density of states: 0.73 states/eV/atom
total moment: 0.000 μB per atom
electronic total energy: -4.0399 eV/atom
space group: P-1 (2)

***

Record 4
Entry from Alexandria: a geometry-optimized LaSc2Ni structure (PBE-GGA).

abc: 8.7382 8.7382 8.7382
angles: 24.58 24.58 24.58
With the nearest neighbours (Å) after each atom.
Atoms (fractional coordinates):
La: 0.0000 0.0000 0.0000  6 Sc 3.59, 6 La 3.72
Sc: 0.2202 0.2202 0.2202  3 Ni 2.54
Sc: 0.7798 0.7798 0.7798  3 Ni 2.54
Ni: 0.5000 0.5000 0.5000  6 Sc 2.54

calculated volume: 101.5 Å³ per cell
formation energy from the elements: -29 kJ/mol of formula units
Fermi-level density of states: 1.23 states/eV/atom
total moment: 0.000 μB per atom
electronic total energy: -5.9193 eV/atom
space group: R-3m (166)